Entry 1:
Compound: DyYN2
Source: Alexandria via LeMat-Bulk
Functional: PBE
Structure: relaxed

For the total energy, the calculation gives -33.1 eV/f.u. The value obtained for the density is 7.62 g cm⁻³. Its space-group type is No. 164. For the uncorrected formation energy, the calculation gives -1.34 eV per atom.

a = 3.4186 Å, b = 3.4187 Å, c = 6.0126 Å
α = 90.00°, β = 90.00°, γ = 120.00°
Last column: nearest neighbours and their distance in Å.
Fractional positions:
Dy 0.0000 0.5000 0.5000  6 N 2.48
N 0.3333 0.1667 0.2508  3 Dy 2.48, 3 Y 2.48
N 0.6667 0.8333 0.7492  3 Dy 2.48, 3 Y 2.48
Y 0.0000 0.5000 0.0000  6 N 2.48

=====

Entry 2:
Compound: LuScTiAl
Source: Alexandria via LeMat-Bulk
Functional: PBE
Structure: relaxed

For the total energy, the calculation gives -22.9 eV/f.u. As for the formation enthalpy at 0 K: -0.4 eV per formula unit. The value obtained for the density is 5.70 g cm⁻³. Its space-group type is No. 216.

a = 4.9517 Å, b = 4.9517 Å, c = 4.9517 Å
α = 60.00°, β = 60.00°, γ = 60.00°
Last column: nearest neighbours and their distance in Å.
Fractional positions:
Sc 0.2500 0.2500 0.2500  4 Al 3.03, 4 Ti 3.03
Lu 0.7500 0.7500 0.7500  4 Al 3.03, 4 Ti 3.03
Al 0.5000 0.5000 0.5000  4 Sc 3.03, 4 Lu 3.03
Ti 0.0000 0.0000 0.0000  4 Lu 3.03, 4 Sc 3.03

=====

Entry 3:
Compound: HoLuTl2
Source: Alexandria via LeMat-Bulk
Functional: PBE
Structure: relaxed

For the total energy, the calculation gives -15.0 eV/f.u. As for the formation enthalpy at 0 K: -1.2 eV per formula unit. The value obtained for the density is 11.69 g cm⁻³. Its space-group type is No. 123.

a = 3.5775 Å, b = 3.5775 Å, c = 8.3070 Å
α = 90.00°, β = 90.00°, γ = 90.00°
Last column: nearest neighbours and their distance in Å.
Fractional positions:
Lu 0.5000 0.5000 0.0000  8 Tl 3.25, 4 Lu 3.58
Tl 0.0000 0.0000 0.7535  4 Lu 3.25, 4 Ho 3.29, 4 Tl 3.58
Tl 0.0000 0.0000 0.2465  4 Lu 3.25, 4 Ho 3.29, 4 Tl 3.58
Ho 0.5000 0.5000 0.5000  8 Tl 3.29, 4 Ho 3.58

=====

Entry 4:
Compound: YCu2Ir
Source: Alexandria via LeMat-Bulk
Functional: PBE
Structure: relaxed

For the total energy, the calculation gives -24.6 eV/f.u. As for the formation enthalpy at 0 K: -1.1 eV per formula unit. The value obtained for the density is 10.49 g cm⁻³. Its space-group type is No. 139.

a = 4.9450 Å, b = 4.9450 Å, c = 3.9922 Å
α = 66.16°, β = 66.16°, γ = 47.57°
Last column: nearest neighbours and their distance in Å.
Fractional positions:
Y 0.2500 0.2500 0.2500  4 Ir 2.82, 8 Cu 2.85
Cu 0.0000 0.0000 0.0000  4 Cu 2.82, 4 Ir 2.85, 4 Y 2.85
Cu 0.5000 0.5000 0.5000  4 Cu 2.82, 4 Ir 2.85, 4 Y 2.85
Ir 0.7500 0.7500 0.7500  4 Y 2.82, 8 Cu 2.85

=====

Entry 5:
Compound: SrTl3Sb2
Source: Alexandria via LeMat-Bulk
Functional: PBE
Structure: relaxed

For the total energy, the calculation gives -18.6 eV/f.u. The value obtained for the density is 7.72 g cm⁻³. Its space-group type is No. 12. For the uncorrected formation energy, the calculation gives -0.26 eV per atom.

a = 5.2363 Å, b = 9.2813 Å, c = 8.8575 Å
α = 98.69°, β = 107.19°, γ = 90.00°
Last column: nearest neighbours and their distance in Å.
Fractional positions:
Sb 0.7933 0.3419 0.5866  4 Tl 3.12-3.24, 3 Sr 3.33-3.44
Sb 0.2067 0.6581 0.4134  4 Tl 3.12-3.24, 3 Sr 3.33-3.44
Sb 0.5230 0.1667 0.0460  1 Sb 3.07, 3 Tl 3.18-3.35
Sb 0.4770 0.8333 0.9540  1 Sb 3.07, 3 Tl 3.18-3.35
Sr 0.8406 0.7040 0.6812  5 Sb 3.33-3.57
Sr 0.1594 0.2960 0.3188  5 Sb 3.33-3.57
Tl 0.5994 0.5589 0.1989  3 Sb 3.24-3.53, 1 Tl 3.37
Tl 0.0848 0.8782 0.1697  3 Sb 3.12-3.18, 2 Tl 3.31
Tl 0.9152 0.1218 0.8303  3 Sb 3.12-3.18, 2 Tl 3.31
Tl 0.6904 0.0163 0.3808  2 Sb 3.24-3.35, 4 Tl 3.31-3.35
Tl 0.4006 0.4411 0.8011  3 Sb 3.24-3.53, 1 Tl 3.37
Tl 0.3096 0.9837 0.6192  2 Sb 3.24-3.35, 4 Tl 3.31-3.35

=====

Entry 6:
Compound: Mn2AgP
Source: Alexandria via LeMat-Bulk
Functional: PBE
Structure: relaxed

For the total energy, the calculation gives -26.3 eV/f.u. As for the formation enthalpy at 0 K: 0.3 eV per formula unit. The value obtained for the density is 7.03 g cm⁻³. Its space-group type is No. 44.

a = 7.0361 Å, b = 7.0361 Å, c = 7.0361 Å
α = 154.84°, β = 156.60°, γ = 34.62°
Last column: nearest neighbours and their distance in Å.
Fractional positions:
P 0.5407 0.5407 0.0000  6 Mn 2.23-2.30
Ag 0.3078 0.8078 0.5000  6 Mn 2.76-2.81, 4 Ag 2.85-3.06
Mn 0.6680 0.1680 0.5000  2 P 2.30
Mn 0.9835 0.9835 0.0000  4 P 2.23

=====

Entry 7:
Compound: HoU2Te6
Source: Alexandria via LeMat-Bulk
Functional: PBE
Structure: relaxed

For the total energy, the calculation gives -50.0 eV/f.u. The value obtained for the density is 6.57 g cm⁻³. Its space-group type is No. 121. For the uncorrected formation energy, the calculation gives -0.45 eV per atom.

a = 5.7287 Å, b = 5.7287 Å, c = 11.5691 Å
α = 104.33°, β = 104.33°, γ = 90.00°
Last column: nearest neighbours and their distance in Å.
Fractional positions:
Te 0.6748 0.6748 0.8201  1 U 2.88, 1 Ho 2.90
Te 0.1453 0.1453 0.8201  1 U 2.88, 1 Ho 2.90
Te 0.8547 0.3252 0.1799  1 U 2.88, 1 Ho 2.90
Te 0.2500 0.7500 0.5000  4 U 3.15
Te 0.3252 0.8547 0.1799  1 U 2.88, 1 Ho 2.90
Te 0.7500 0.2500 0.5000  4 U 3.15
U 0.8107 0.8107 0.6213  6 Te 2.88-3.15
U 0.1893 0.1893 0.3787  6 Te 2.88-3.15
Ho 0.5000 0.5000 0.0000  4 Te 2.90

=====

Entry 8:
Compound: NdSm2Co6
Source: Alexandria via LeMat-Bulk
Functional: PBE
Structure: relaxed

For the total energy, the calculation gives -57.8 eV/f.u. As for the formation enthalpy at 0 K: -0.9 eV per formula unit. The value obtained for the density is 8.09 g cm⁻³. Its space-group type is No. 191.

a = 4.1803 Å, b = 6.7297 Å, c = 6.7297 Å
α = 120.00°, β = 90.00°, γ = 90.00°
Last column: nearest neighbours and their distance in Å.
Fractional positions:
Nd 0.0000 0.0000 0.0000  12 Co 3.07
Co 0.5000 0.0000 0.6660  3 Co 2.23-2.25
Co 0.5000 0.0000 0.3340  3 Co 2.23-2.25
Co 0.5000 0.6660 0.0000  3 Co 2.23-2.25
Co 0.5000 0.6660 0.6660  3 Co 2.23-2.25
Co 0.5000 0.3340 0.3340  3 Co 2.23-2.25
Co 0.5000 0.3340 0.0000  3 Co 2.23-2.25
Sm 0.0000 0.6667 0.3333  12 Co 3.06
Sm 0.0000 0.3333 0.6667  12 Co 3.06

=====

Entry 9:
Compound: BaLa4P
Source: Alexandria via LeMat-Bulk
Functional: PBE
Structure: relaxed

For the total energy, the calculation gives -24.9 eV/f.u. As for the formation enthalpy at 0 K: 2.1 eV per formula unit. The value obtained for the density is 5.74 g cm⁻³. Its space-group type is No. 216.

a = 6.6650 Å, b = 6.6650 Å, c = 6.6650 Å
α = 60.00°, β = 60.00°, γ = 60.00°
Last column: nearest neighbours and their distance in Å.
Fractional positions:
La 0.3752 0.8744 0.3752  6 La 3.33-3.34
La 0.8744 0.3752 0.3752  6 La 3.33-3.34
La 0.3752 0.3752 0.3752  6 La 3.33-3.34
La 0.3752 0.3752 0.8744  6 La 3.33-3.34
Ba 0.0000 0.0000 0.0000  12 La 3.91, 4 P 4.08
P 0.7500 0.7500 0.7500  12 La 3.91, 4 Ba 4.08

=====

Entry 10:
Compound: Cs3Nd2SmSe6
Source: Alexandria via LeMat-Bulk
Functional: PBE
Structure: relaxed

For the total energy, the calculation gives -58.5 eV/f.u. The value obtained for the density is 5.18 g cm⁻³. Its space-group type is No. 12. For the uncorrected formation energy, the calculation gives -1.73 eV per atom.

a = 7.5979 Å, b = 7.5979 Å, c = 8.7808 Å
α = 98.29°, β = 98.29°, γ = 120.00°
Last column: nearest neighbours and their distance in Å.
Fractional positions:
Cs 0.1672 0.8328 0.5000  6 Se 3.63-3.65
Cs 0.8328 0.1672 0.5000  6 Se 3.63-3.65
Cs 0.5000 0.5000 0.5000  6 Se 3.63-3.65
Se 0.6063 0.9367 0.8101  1 Sm 2.98, 2 Nd 3.00
Se 0.7329 0.7329 0.1902  1 Sm 2.98, 2 Nd 3.00
Se 0.9367 0.6063 0.8101  1 Sm 2.98, 2 Nd 3.00
Se 0.3937 0.0633 0.1899  1 Sm 2.98, 2 Nd 3.00
Se 0.0633 0.3937 0.1899  1 Sm 2.98, 2 Nd 3.00
Se 0.2671 0.2671 0.8098  1 Sm 2.98, 2 Nd 3.00
Sm 0.0000 0.0000 0.0000  6 Se 2.98
Nd 0.6666 0.3334 0.0000  6 Se 3.00
Nd 0.3334 0.6666 0.0000  6 Se 3.00

=====

Entry 11:
Compound: NaH4Pd5
Source: Alexandria via LeMat-Bulk
Functional: PBE
Structure: relaxed

For the total energy, the calculation gives -41.6 eV/f.u. The value obtained for the density is 8.33 g cm⁻³. Its space-group type is No. 59.

a = 4.7605 Å, b = 5.7073 Å, c = 8.2088 Å
α = 90.00°, β = 90.00°, γ = 90.00°
Last column: nearest neighbours and their distance in Å.
Fractional positions:
Na 0.2309 0.5000 0.5000  2 H 2.25
Na 0.7691 0.0000 0.0000  2 H 2.25
H 0.0791 0.0000 0.2778  3 Pd 1.88-1.97
H 0.5299 0.8048 0.5000  3 Pd 1.78-1.80
H 0.4701 0.3048 0.0000  3 Pd 1.78-1.80
H 0.0791 0.0000 0.7222  3 Pd 1.88-1.97
H 0.5299 0.1952 0.5000  3 Pd 1.78-1.80
H 0.9209 0.5000 0.2222  3 Pd 1.88-1.97
H 0.9209 0.5000 0.7778  3 Pd 1.88-1.97
H 0.4701 0.6952 0.0000  3 Pd 1.78-1.80
Pd 0.2485 0.2541 0.8295  2 H 1.78-1.88
Pd 0.7669 0.5000 0.0000  4 H 1.80-1.97
Pd 0.2485 0.2541 0.1705  2 H 1.78-1.88
Pd 0.7515 0.7541 0.6705  2 H 1.78-1.88
Pd 0.2485 0.7459 0.1705  2 H 1.78-1.88
Pd 0.2485 0.7459 0.8295  2 H 1.78-1.88
Pd 0.2331 0.0000 0.5000  4 H 1.80-1.97
Pd 0.7515 0.2459 0.3295  2 H 1.78-1.88
Pd 0.7515 0.2459 0.6705  2 H 1.78-1.88
Pd 0.7515 0.7541 0.3295  2 H 1.78-1.88

=====

Entry 12:
Compound: SiTcAg2
Source: Alexandria via LeMat-Bulk
Functional: PBE
Structure: relaxed

For the total energy, the calculation gives -19.8 eV/f.u. The value obtained for the density is 8.79 g cm⁻³. Its space-group type is No. 139. For the uncorrected formation energy, the calculation gives 0.42 eV per atom.

a = 5.3616 Å, b = 5.3616 Å, c = 5.3616 Å
α = 139.43°, β = 139.43°, γ = 58.72°
Last column: nearest neighbours and their distance in Å.
Fractional positions:
Ag 0.0000 0.0000 0.0000  4 Ag 2.63
Ag 0.5000 0.5000 0.0000  4 Ag 2.63
Tc 0.7500 0.2500 0.5000  4 Si 2.63
Si 0.2500 0.7500 0.5000  4 Tc 2.63

=====

no.,size of the total moment (μB/atom)
1,0.000
2,0.685
3,0.007
4,0.000
5,0.000
6,0.918
7,0.342
8,0.505
9,0.002
10,0.000
11,0.000
12,0.228